Entry 1:
Nd4IrRuBr2 | PBE | relaxed

a b c (Å): 7.1421 4.1181 8.1951
angles (deg): 90.00 106.84 90.00
With the nearest neighbours (Å) after each atom.
Positions (direct):
Nd (0.2291, 0.0000, 0.1970)  2 Ru 2.83, 1 Ir 2.86
Nd (0.2636, 0.5000, 0.8045)  1 Ru 2.80, 2 Ir 2.84
Nd (0.7364, 0.5000, 0.1955)  1 Ru 2.80, 2 Ir 2.84
Nd (0.7709, 0.0000, 0.8030)  2 Ru 2.83, 1 Ir 2.86
Ir (0.5000, 0.0000, 0.0000)  6 Nd 2.84-2.86
Ru (0.0000, 0.5000, 0.0000)  6 Nd 2.80-2.83
Br (0.0000, 0.0000, 0.5000)  6 Nd 3.35-3.36
Br (0.5000, 0.5000, 0.5000)  6 Nd 3.37-3.39

E_form (uncorrected)   -0.9272 eV per atom
Density of states at the Fermi level   0.546 states/eV per atom
Final energy   -6.00 eV per atom
SG   No. 10


Entry 2:
Er4Th6Sc | PBE | relaxed

a b c (Å): 9.8030 9.8030 9.8030
angles (deg): 141.79 141.79 55.14
With the nearest neighbours (Å) after each atom.
Positions (direct):
Er (0.1925, 0.1925, 0.6343)  7 Th 3.20-3.49, 1 Er 3.32
Er (0.4418, 0.8075, 0.0000)  7 Th 3.20-3.49, 1 Er 3.32
Er (0.5582, 0.5582, 0.3657)  7 Th 3.20-3.49, 1 Er 3.32
Er (0.8075, 0.4418, 0.0000)  7 Th 3.20-3.49, 1 Er 3.32
Th (0.0000, 0.5000, 0.5000)  4 Er 3.20, 2 Sc 3.21
Th (0.0031, 0.6299, 0.0000)  5 Er 3.33-3.49, 1 Th 3.39, 1 Sc 3.61
Th (0.3701, 0.3701, 0.3732)  5 Er 3.33-3.49, 1 Th 3.39, 1 Sc 3.61
Th (0.5000, 0.0000, 0.5000)  4 Er 3.20, 2 Sc 3.21
Th (0.6299, 0.0031, 0.0000)  5 Er 3.33-3.49, 1 Th 3.39, 1 Sc 3.61
Th (0.9969, 0.9969, 0.6268)  5 Er 3.33-3.49, 1 Th 3.39, 1 Sc 3.61
Sc (0.0000, 0.0000, 0.0000)  4 Th 3.21

Density of states at the Fermi level   1.662 states/eV per atom
Final energy   -5.88 eV per atom
Energy of formation from the pure elements   0.405 eV per atom
SG   No. 121


Entry 3:
Ba2CaBiN | PBE | relaxed

a b c (Å): 5.6496 5.6496 4.9658
angles (deg): 90.00 90.00 90.00
With the nearest neighbours (Å) after each atom.
Positions (direct):
Ba (0.0000, 0.5000, 0.0000)  2 N 2.82
Ba (0.5000, 0.0000, 0.0000)  2 N 2.82
Ca (0.0000, 0.0000, 0.5000)  2 N 2.48
Bi (0.5000, 0.5000, 0.5000)  8 Ba 3.76, 4 Ca 3.99
N (0.0000, 0.0000, 0.0000)  2 Ca 2.48

E_form (uncorrected)   -0.7708 eV per atom
Density of states at the Fermi level   0.123 states/eV per atom
Final energy   -4.38 eV per atom
SG   No. 123


Entry 4:
AcTb2Ho6 | PBE | relaxed

a b c (Å): 3.6169 3.6169 26.3228
angles (deg): 90.00 90.00 120.00
With the nearest neighbours (Å) after each atom.
Positions (direct):
Ac (0.0000, 0.0000, 0.0000)  6 Ac 3.62, 6 Ho 3.74
Tb (0.3333, 0.6667, 0.3310)  6 Ho 3.47-3.53, 6 Tb 3.62
Tb (0.3333, 0.6667, 0.6690)  6 Ho 3.47-3.53, 6 Tb 3.62
Ho (0.0000, 0.0000, 0.2227)  9 Ho 3.46-3.62, 3 Tb 3.53
Ho (0.0000, 0.0000, 0.4362)  7 Ho 3.36-3.62, 3 Tb 3.47
Ho (0.0000, 0.0000, 0.5638)  7 Ho 3.36-3.62, 3 Tb 3.47
Ho (0.0000, 0.0000, 0.7773)  9 Ho 3.46-3.62, 3 Tb 3.53
Ho (0.3333, 0.6667, 0.1177)  9 Ho 3.46-3.62, 3 Ac 3.74
Ho (0.3333, 0.6667, 0.8823)  9 Ho 3.46-3.62, 3 Ac 3.74

Density of states at the Fermi level   1.744 states/eV per atom
Final energy   -4.46 eV per atom
Energy of formation from the pure elements   0.082 eV per atom
ΔE to the lowest computed polymorph   0.000 eV per atom
SG   No. 187


Entry 5:
TiCo2Pt | PBE | relaxed

a b c (Å): 9.1165 9.1165 9.1165
angles (deg): 156.98 156.98 32.78
With the nearest neighbours (Å) after each atom.
Positions (direct):
Ti (0.0000, 0.0000, 0.0000)  4 Co 2.54, 4 Pt 2.57
Ti (0.7500, 0.2500, 0.5000)  4 Co 2.54, 4 Pt 2.57
Co (0.1284, 0.6250, 0.0034)  2 Pt 2.53, 2 Ti 2.54, 4 Co 2.56-2.59
Co (0.3750, 0.3784, 0.5034)  2 Pt 2.53, 2 Ti 2.54, 4 Co 2.56-2.59
Co (0.6216, 0.1250, 0.9966)  2 Pt 2.53, 2 Ti 2.54, 4 Co 2.56-2.59
Co (0.8750, 0.8716, 0.4966)  2 Pt 2.53, 2 Ti 2.54, 4 Co 2.56-2.59
Pt (0.2500, 0.7500, 0.5000)  4 Co 2.53, 4 Ti 2.57
Pt (0.5000, 0.5000, 0.0000)  4 Co 2.53, 4 Ti 2.57

Density of states at the Fermi level   1.420 states/eV per atom
Final energy   -7.02 eV per atom
Energy of formation from the pure elements   0.019 eV per atom
SG   No. 122


Entry 6:
Rb2TmTlI6 | PBE | relaxed

a b c (Å): 8.9461 8.9461 8.9461
angles (deg): 59.39 59.39 59.39
With the nearest neighbours (Å) after each atom.
Positions (direct):
Rb (0.0000, 0.0000, 0.0000)  6 I 3.69-3.85
Rb (0.4899, 0.4899, 0.4899)  6 I 3.73-3.83
Tm (0.7065, 0.7065, 0.7065)  6 I 3.01-3.03
Tl (0.2124, 0.2124, 0.2124)  6 I 3.45-3.57
I (0.0288, 0.4754, 0.8441)  1 Tm 3.01
I (0.3783, 0.9201, 0.5756)  1 Tm 3.03
I (0.4754, 0.8441, 0.0288)  1 Tm 3.01
I (0.5756, 0.3783, 0.9201)  1 Tm 3.03
I (0.8441, 0.0288, 0.4754)  1 Tm 3.01
I (0.9201, 0.5756, 0.3783)  1 Tm 3.03

E_form (uncorrected)   -1.2848 eV per atom
Density of states at the Fermi level   0.000 states/eV per atom
Final energy   -3.09 eV per atom
SG   No. 146


Entry 7:
RbTiS2 | PBE | relaxed

a b c (Å): 8.6384 8.6384 7.6421
angles (deg): 108.95 108.95 23.33
With the nearest neighbours (Å) after each atom.
Positions (direct):
Rb (0.1015, 0.1015, 0.3997)  7 S 3.34-3.62, 2 Rb 3.49
Rb (0.8985, 0.8985, 0.6003)  7 S 3.34-3.62, 2 Rb 3.49
Ti (0.1694, 0.1694, 0.9348)  5 S 2.37-2.51
Ti (0.8306, 0.8306, 0.0652)  5 S 2.37-2.51
S (0.2827, 0.2827, 0.8167)  3 Ti 2.37-2.51
S (0.4238, 0.4238, 0.2353)  2 Ti 2.42
S (0.5762, 0.5762, 0.7647)  2 Ti 2.42
S (0.7173, 0.7173, 0.1833)  3 Ti 2.37-2.51

E_form (uncorrected)   -1.3125 eV per atom
Density of states at the Fermi level   0.009 states/eV per atom
Final energy   -5.59 eV per atom
SG   No. 12


Entry 8:
YZrSc | PBE | relaxed

a b c (Å): 5.2269 5.2269 3.3159
angles (deg): 90.00 90.00 120.00
With the nearest neighbours (Å) after each atom.
Positions (direct):
Y (0.0000, 0.0000, 0.0000)  2 Y 3.32, 6 Zr 3.44, 6 Sc 3.44
Zr (0.6667, 0.3333, 0.5000)  3 Sc 3.02, 2 Zr 3.32
Sc (0.3333, 0.6667, 0.5000)  3 Zr 3.02, 2 Sc 3.32

Density of states at the Fermi level   1.976 states/eV per atom
Final energy   -7.02 eV per atom
Energy of formation from the pure elements   0.094 eV per atom
ΔE to the lowest computed polymorph   0.039 eV per atom
SG   No. 187